No. 1
# NiBr3, optimized geometry, DFT PBE
# - Electronic total energy: -1.92 eV per atom
# - Calculated volume: 22.77 Å³ per atom
data_NiBr3
_chemical_formula_sum 'Ni4 Br12'
_space_group_name_H-M_alt 'F m -3 m'
_space_group_IT_number 225
_space_group_name_Hall '-F 4 2 3'
_cell_length_a 7.142
_cell_length_b 7.142
_cell_length_c 7.142
_cell_angle_alpha 90.00
_cell_angle_beta 90.00
_cell_angle_gamma 90.00
loop_
_atom_site_label
_atom_site_type_symbol
_atom_site_fract_x
_atom_site_fract_y
_atom_site_fract_z
_atom_site_occupancy
Ni1 Ni 0.000 0.000 0.000 1
Br1 Br 0.000 0.000 0.500 1
Br2 Br 0.250 0.250 0.250 1

No. 2
# OsPbNO, optimized geometry, DFT PBE
# - Polymorph energy (0 for the lowest one): 39 meV per atom
# - Calculated volume: 15.82 Å³ per atom
data_OsPbNO
_chemical_formula_sum 'Os2 Pb2 N2 O2'
_space_group_name_H-M_alt 'P 4/n m m'
_space_group_IT_number 129
_cell_length_a 3.820
_cell_length_b 3.820
_cell_length_c 8.670
_cell_angle_alpha 90.00
_cell_angle_beta 90.00
_cell_angle_gamma 90.00
loop_
_space_group_symop_operation_xyz
'x,y,z'
'-x,-y,-z'
'-y+1/2,x,z'
'y+1/2,-x,-z'
'-x+1/2,-y+1/2,z'
'x+1/2,y+1/2,-z'
'y,-x+1/2,z'
'-y,x+1/2,-z'
'x+1/2,-y,-z'
'-x+1/2,y,z'
'-y,-x,-z'
'y,x,z'
'-x,y+1/2,-z'
'x,-y+1/2,z'
'y+1/2,x+1/2,-z'
'-y+1/2,-x+1/2,z'
loop_
_atom_site_label
_atom_site_type_symbol
_atom_site_fract_x
_atom_site_fract_y
_atom_site_fract_z
_atom_site_occupancy
Os1 Os 0.250 0.750 0.000 1
Pb1 Pb 0.250 0.250 0.354 1
N1 N 0.250 0.250 0.904 1
O1 O 0.250 0.750 0.500 1

No. 3
# Pr2HgAs2PdO2, optimized geometry, DFT PBE
# - Electronic total energy: -5.89 eV per atom
# - Calculated volume: 19.27 Å³ per atom
data_Pr2HgAs2PdO2
_chemical_formula_sum 'Pr2 Hg1 As2 Pd1 O2'
_space_group_name_H-M_alt 'P -4 m 2'
_space_group_IT_number 115
_space_group_name_Hall 'P -4 -2'
_cell_length_a 4.161
_cell_length_b 4.161
_cell_length_c 8.904
_cell_angle_alpha 90.00
_cell_angle_beta 90.00
_cell_angle_gamma 90.00
loop_
_atom_site_label
_atom_site_type_symbol
_atom_site_fract_x
_atom_site_fract_y
_atom_site_fract_z
_atom_site_occupancy
Pr1 Pr 0.000 0.500 0.130 1
Hg1 Hg 0.000 0.000 0.500 1
As1 As 0.000 0.500 0.691 1
Pd1 Pd 0.500 0.500 0.500 1
O1 O 0.000 0.000 0.000 1
O2 O 0.500 0.500 0.000 1

No. 4
# NdTh, optimized geometry, DFT PBE
# - Formation enthalpy at 0 K: 75 meV per atom
# - Polymorph energy (0 for the lowest one): 0 meV per atom
# - Calculated volume: 33.64 Å³ per atom
data_NdTh
_chemical_formula_sum 'Nd1 Th1'
_space_group_name_H-M_alt 'P -6 m 2'
_space_group_IT_number 187
_space_group_name_Hall 'P -6 2'
_cell_length_a 3.5926
_cell_length_b 3.5926
_cell_length_c 6.0186
_cell_angle_alpha 90.00
_cell_angle_beta 90.00
_cell_angle_gamma 120.00
loop_
_atom_site_label
_atom_site_type_symbol
_atom_site_fract_x
_atom_site_fract_y
_atom_site_fract_z
_atom_site_occupancy
Nd1 Nd 0.0000 0.0000 0.0000 1
Th1 Th 0.6667 0.3333 0.5000 1